# 1
ZnFe2HIr (GGA-PBE, relaxed); final energy = -30.159 eV/f.u.
1.0
3.670 0.000 0.000
0.000 3.670 0.000
0.000 0.000 4.048
Zn Fe H Ir
1 2 1 1
Cartesian
0.000 0.000 0.000
0.000 1.835 2.024
1.835 0.000 2.024
0.000 0.000 2.024
1.835 1.835 0.000

=====

# 2
Zn2FeHIr (GGA-PBE, relaxed); final energy = -22.831 eV/f.u.
1.0
4.127 0.000 0.000
0.000 4.127 0.000
0.000 0.000 3.307
Zn Fe H Ir
2 1 1 1
Cartesian
0.000 2.064 0.000
2.064 0.000 0.000
0.000 0.000 1.653
0.000 0.000 0.000
2.064 2.064 1.653

=====

Question: The highest final energy belongs to which entry?
Answer: Zn2FeHIr